## Re2TcSnH (PBEsol)

Data for an optimized crystal structure of Re2TcSnH.

Output
E ... -7.99 eV/atom
Crystal system ... tetragonal
DOS at the Fermi energy ... 0.970 states/eV per atom

Lattice parameters (Å, degrees): 4.8118 4.8118 3.2385 90.00 90.00 90.00
Positions (direct):
Re  0.0000  0.5000  0.0000
Re  0.5000  0.0000  0.0000
Tc  0.0000  0.0000  0.0000
Sn  0.5000  0.5000  0.5000
H  0.0000  0.0000  0.5000